Computed, not measured: crystalline SrAlPS2 at its relaxed geometry at the GGA-PBEsol level of DFT.

a = 4.781 Å, b = 4.781 Å, c = 4.576 Å
α = 90.00°, β = 90.00°, γ = 90.00°
Space group P4/mmm (No. 123)
Asymmetric unit:
Sr1 0.000 0.000 0.000
Al1 0.500 0.500 0.500
P1 0.500 0.500 0.000
S1 0.000 0.500 0.500

Properties
- crystal system = tetragonal
- E_form (uncorrected) (meV/atom) = -760
- energy (eV per atom) = -4.858